Record 1
A geometry-optimized CdBiI structure, computed with PBE.

Cell lengths 5.769, 4.427, 9.655 Å; angles 90.00, 104.26, 90.00 degrees
Positions (direct):
Cd1 0.025 0.250 0.314
Cd2 0.975 0.750 0.686
Bi1 0.183 0.250 0.056
Bi2 0.817 0.750 0.944
I1 0.299 0.250 0.625
I2 0.701 0.750 0.375

Properties
SG = No. 11
Energy above the most stable polymorph in this dataset = 0.000 eV per atom


Record 2
A geometry-optimized Cd2BiI structure, computed with PBE.

Cell lengths 8.565, 8.565, 8.565 Å; angles 132.85, 132.85, 68.89 degrees
Positions (direct):
Cd1 0.088 0.625 0.963
Cd2 0.375 0.338 0.463
Cd3 0.662 0.125 0.037
Cd4 0.875 0.912 0.537
Bi1 0.000 0.000 0.000
Bi2 0.750 0.250 0.500
I1 0.250 0.750 0.500
I2 0.500 0.500 0.000

Properties
SG = No. 122
Energy above the most stable polymorph in this dataset = 0.000 eV per atom


Record 3
A geometry-optimized CdBi2I structure, computed with PBE.

Cell lengths 12.861, 12.861, 12.861 Å; angles 158.88, 158.88, 30.04 degrees
Positions (direct):
Cd1 0.000 0.000 0.000
Cd2 0.750 0.250 0.500
Bi1 0.078 0.625 0.953
Bi2 0.375 0.328 0.453
Bi3 0.672 0.125 0.047
Bi4 0.875 0.922 0.547
I1 0.250 0.750 0.500
I2 0.500 0.500 0.000

Properties
SG = No. 122
Energy above the most stable polymorph in this dataset = 0.000 eV per atom


Record 4
A geometry-optimized CdBiI structure, computed with PBE.

Cell lengths 3.852, 3.910, 8.866 Å; angles 78.10, 77.53, 60.57 degrees
Positions (direct):
Cd1 0.000 0.000 0.000
Bi1 0.115 0.097 0.671
I1 0.593 0.592 0.223

Properties
SG = No. 1
Energy above the most stable polymorph in this dataset = 0.185 eV per atom


Record 5
A geometry-optimized CdBi2I2 structure, computed with PBE.

Cell lengths 7.989, 7.989, 5.508 Å; angles 90.00, 90.00, 90.00 degrees
Positions (direct):
Cd1 0.000 0.000 0.000
Cd2 0.500 0.500 0.000
Bi1 0.144 0.356 0.000
Bi2 0.356 0.856 0.000
Bi3 0.644 0.144 0.000
Bi4 0.856 0.644 0.000
I1 0.198 0.698 0.500
I2 0.302 0.198 0.500
I3 0.698 0.802 0.500
I4 0.802 0.302 0.500

Properties
Uncorrected energy = -2.36 eV/atom
SG = No. 127


Record 6
A geometry-optimized Cd2BiI structure, computed with PBE.

Cell lengths 4.901, 4.901, 6.269 Å; angles 90.00, 90.00, 90.00 degrees
Positions (direct):
Cd1 0.000 0.500 0.000
Cd2 0.500 0.000 0.000
Bi1 0.000 0.000 0.746
I1 0.500 0.500 0.338

Properties
SG = No. 99
Energy above the most stable polymorph in this dataset = 0.020 eV per atom


Record 7
A geometry-optimized CdBiI4 structure, computed with PBE.

Cell lengths 7.570, 4.878, 16.381 Å; angles 90.00, 116.52, 90.00 degrees
Positions (direct):
Cd1 0.000 0.000 0.000
Cd2 0.000 0.500 0.500
Bi1 0.500 0.000 0.500
Bi2 0.500 0.500 0.000
I1 0.045 0.043 0.385
I2 0.045 0.457 0.885
I3 0.437 0.562 0.619
I4 0.437 0.938 0.119
I5 0.563 0.062 0.881
I6 0.563 0.438 0.381
I7 0.955 0.543 0.115
I8 0.955 0.957 0.615

Properties
Uncorrected energy = -2.18 eV/atom
SG = No. 14


Record 8
A geometry-optimized CdBiI structure, computed with PBE.

Cell lengths 4.451, 6.826, 8.146 Å; angles 112.51, 105.37, 90.04 degrees
Positions (direct):
Cd1 0.000 0.000 0.000
Cd2 0.323 0.039 0.648
Bi1 0.508 0.361 0.033
Bi2 0.912 0.521 0.830
I1 0.262 0.580 0.530
I2 0.696 0.021 0.387

Properties
SG = No. 1
Energy above the most stable polymorph in this dataset = 0.094 eV per atom


Record 9
A geometry-optimized CdBiI structure, computed with PBE.

Cell lengths 4.415, 7.972, 8.149 Å; angles 106.68, 105.72, 106.07 degrees
Positions (direct):
Cd1 0.069 0.234 0.404
Cd2 0.931 0.766 0.596
Bi1 0.264 0.096 0.932
Bi2 0.736 0.904 0.068
I1 0.214 0.608 0.321
I2 0.786 0.392 0.679

Properties
SG = No. 2
Energy above the most stable polymorph in this dataset = 0.003 eV per atom


Record 10
A geometry-optimized Cd4BiI3 structure, computed with PBE.

Cell lengths 9.357, 9.967, 7.651 Å; angles 90.00, 90.00, 90.00 degrees
Positions (direct):
Cd1 0.000 0.029 0.000
Cd2 0.000 0.220 0.740
Cd3 0.207 0.338 0.265
Cd4 0.293 0.662 0.765
Cd5 0.500 0.780 0.240
Cd6 0.500 0.971 0.500
Cd7 0.707 0.662 0.765
Cd8 0.793 0.338 0.265
Bi1 0.000 0.145 0.370
Bi2 0.500 0.855 0.870
I1 0.000 0.733 0.904
I2 0.235 0.621 0.383
I3 0.265 0.379 0.883
I4 0.500 0.267 0.404
I5 0.735 0.379 0.883
I6 0.765 0.621 0.383

Properties
Uncorrected energy = -1.77 eV/atom
SG = No. 31


Record 11
A geometry-optimized CdBiI structure, computed with PBE.

Cell lengths 8.514, 4.409, 12.994 Å; angles 90.00, 90.00, 90.00 degrees
Positions (direct):
Cd1 0.176 0.250 0.087
Cd2 0.324 0.750 0.587
Cd3 0.676 0.250 0.413
Cd4 0.824 0.750 0.913
Bi1 0.010 0.250 0.418
Bi2 0.490 0.750 0.918
Bi3 0.510 0.250 0.082
Bi4 0.990 0.750 0.582
I1 0.045 0.250 0.856
I2 0.455 0.750 0.356
I3 0.545 0.250 0.644
I4 0.955 0.750 0.144

Properties
SG = No. 62
Energy above the most stable polymorph in this dataset = 0.002 eV per atom


Record 12
A geometry-optimized CdBiI2 structure, computed with PBE.

Cell lengths 8.728, 8.728, 8.728 Å; angles 96.89, 96.89, 139.47 degrees
Positions (direct):
Cd1 0.000 0.000 0.000
Cd2 0.750 0.250 0.500
Bi1 0.250 0.750 0.500
Bi2 0.500 0.500 0.000
I1 0.283 0.625 0.158
I2 0.375 0.533 0.658
I3 0.467 0.125 0.842
I4 0.875 0.717 0.342

Properties
SG = No. 122
Energy above the most stable polymorph in this dataset = 0.000 eV per atom